A relaxed Ca5CeCd6 crystal, computed with GGA-PBE.

Structure (POSCAR):
```
Ca5CeCd6
1.0
5.156 -0.030 1.718
0.043 7.667 0.014
0.009 -0.015 8.567
Cd Ca Ce
6 5 1
direct
0.500 0.245 0.000 Cd
0.166 0.249 0.668 Cd
0.834 0.751 0.332 Cd
0.834 0.249 0.332 Cd
0.500 0.755 0.000 Cd
0.166 0.751 0.668 Cd
0.000 0.500 0.000 Ca
0.332 0.000 0.335 Ca
0.335 0.500 0.331 Ca
0.668 0.000 0.665 Ca
0.665 0.500 0.669 Ca
0.000 0.000 0.000 Ce
```

final energy	-2.109	eV per atom
SG	Cmmm
volume	28.21	A^3/atom
spin magnetization	0.9	μB/f.u.
DOS(E_F)	12.2	states/eV/cell
formation energy	-323.4	meV per atom